(1)
Pr8Nd2Tm | PBE | relaxed

Results
ΔE to the lowest computed polymorph   0.00 kcal/mol of atoms

a = 6.054 Å, b = 9.256 Å, c = 9.590 Å
α = 61.14°, β = 74.82°, γ = 57.15°
Atoms (fractional coordinates):
Pr 0.823 0.098 0.232
Pr 0.823 0.330 0.768
Pr 0.297 0.419 0.000
Pr 0.500 0.795 0.410
Pr 0.500 0.205 0.590
Pr 0.703 0.581 0.000
Pr 0.177 0.670 0.232
Pr 0.177 0.902 0.768
Nd 0.000 0.308 0.384
Nd 0.000 0.692 0.616
Tm 0.500 0.000 0.000



(2)
Pr7Nd5Tm | PBE | relaxed

a = 6.903 Å, b = 8.957 Å, c = 8.957 Å
α = 78.65°, β = 67.34°, γ = 67.34°
Atoms (fractional coordinates):
Pr 0.736 0.264 0.264
Pr 0.426 0.574 0.574
Pr 0.977 0.338 0.707
Pr 0.977 0.707 0.338
Pr 0.239 0.261 0.261
Pr 0.483 0.849 0.185
Pr 0.483 0.185 0.849
Nd 0.445 0.004 0.557
Nd 0.994 0.004 0.557
Nd 0.445 0.557 0.004
Nd 0.994 0.557 0.004
Nd 0.760 0.740 0.740
Tm 0.041 0.959 0.959



Number 1: E_form 136.8 meV/atom, volume 395 Å³/cell. Number 2: E_form 219.8 meV/atom, volume 471 Å³/cell.